(1)
First-principles (PBEsol) data for a geometry-optimized Ca5Ge6Pd6 structure, as listed in the Alexandria database.

- VASP energy: -5.286 eV per atom
- ΔH_f (0 K): -0.812 eV/atom
- Size of the total moment: 0.001 μB/cell

a = 8.6953 Å, b = 8.6953 Å, c = 8.6953 Å
α = 90.00°, β = 90.00°, γ = 90.00°
Closest atoms and distances in Å follow each position.
Space group Im-3m (No. 229)
Unique sites:
1 Ca 0.0000 0.0000 0.0000 (multiplicity 2)  6 Ge 3.01
2 Ca 0.2500 0.2500 0.2500 (multiplicity 8)  6 Pd 3.07, 6 Ge 3.19
3 Ge 0.0000 0.0000 0.3458 (multiplicity 12)  4 Pd 2.55, 1 Ge 2.68
4 Pd 0.0000 0.2500 0.5000 (multiplicity 12)  4 Ge 2.55

---

(2)
First-principles (PBEsol) data for a geometry-optimized CaEu2O3 structure, as listed in the Alexandria database.

- VASP energy: -9.402 eV per atom
- Size of the total moment: 55.702 μB/cell

a = 6.0359 Å, b = 10.4481 Å, c = 6.0191 Å
α = 90.00°, β = 109.44°, γ = 90.00°
Closest atoms and distances in Å follow each position.
Space group C2/c (No. 15)
Unique sites:
1 Ca 0.0000 0.0824 0.2500 (multiplicity 4)  6 O 2.41-2.47
2 Eu 0.0000 0.2499 0.7500 (multiplicity 4)  6 O 2.46-2.50
3 Eu 0.0000 0.4168 0.2500 (multiplicity 4)  6 O 2.46-2.50
4 O 0.2416 0.0808 0.9993 (multiplicity 8)  2 Ca 2.41-2.42, 4 Eu 2.46-2.50
5 O 0.2500 0.2500 0.5000 (multiplicity 4)  4 Eu 2.46, 2 Ca 2.47

---

(3)
First-principles (PBEsol) data for a geometry-optimized ZnNi2Ir structure, as listed in the Alexandria database.

- VASP energy: -5.995 eV per atom
- ΔH_f (0 K): -0.065 eV/atom
- Size of the total moment: 0.027 μB/cell

a = 2.6205 Å, b = 2.6205 Å, c = 24.3792 Å
α = 90.00°, β = 90.00°, γ = 120.00°
Closest atoms and distances in Å follow each position.
Space group R-3m (No. 166, hexagonal axes)
Unique sites:
1 Zn 0.0000 0.0000 0.0000 (multiplicity 3)  6 Ni 2.51, 6 Zn 2.62
2 Ni 0.0000 0.0000 0.2513 (multiplicity 6)  3 Zn 2.51, 3 Ir 2.56, 6 Ni 2.62
3 Ir 0.0000 0.0000 0.5000 (multiplicity 3)  6 Ni 2.56, 6 Ir 2.62

---

(4)
First-principles (PBEsol) data for a geometry-optimized Zr2ZnTe structure, as listed in the Alexandria database.

- VASP energy: -6.225 eV per atom
- Size of the total moment: 0.000 μB/cell

a = 3.7734 Å, b = 3.7734 Å, c = 5.8831 Å
α = 90.00°, β = 90.00°, γ = 90.00°
Closest atoms and distances in Å follow each position.
Space group P4mm (No. 99)
Unique sites:
1 Zr 0.0000 0.0000 0.0000 (multiplicity 1)  4 Zn 2.87, 2 Te 2.92-2.96, 4 Zr 3.15
2 Zr 0.5000 0.5000 0.2849 (multiplicity 1)  1 Zn 2.72, 4 Te 2.96
3 Zn 0.5000 0.5000 0.8226 (multiplicity 1)  5 Zr 2.72-2.87
4 Te 0.0000 0.0000 0.5031 (multiplicity 1)  6 Zr 2.92-2.96, 4 Zn 3.26

---

(5)
First-principles (PBEsol) data for a geometry-optimized GaP2SeO structure, as listed in the Alexandria database.

- VASP energy: -4.333 eV per atom
- Size of the total moment: 0.001 μB/cell

a = 4.8176 Å, b = 4.8176 Å, c = 3.6650 Å
α = 90.00°, β = 90.00°, γ = 90.00°
Closest atoms and distances in Å follow each position.
Space group P4/mmm (No. 123)
Unique sites:
1 Ga 0.0000 0.0000 0.0000 (multiplicity 1)  8 P 3.03
2 P 0.0000 0.5000 0.5000 (multiplicity 2)  2 Se 2.41
3 Se 0.5000 0.5000 0.5000 (multiplicity 1)  2 O 1.83
4 O 0.5000 0.5000 0.0000 (multiplicity 1)  2 Se 1.83

---

(6)
First-principles (PBEsol) data for a geometry-optimized ZrTiP2Au structure, as listed in the Alexandria database.

- VASP energy: -6.477 eV per atom
- ΔH_f (0 K): 0.107 eV/atom
- Size of the total moment: 0.000 μB/cell

a = 4.5277 Å, b = 4.5277 Å, c = 4.8098 Å
α = 90.00°, β = 90.00°, γ = 90.00°
Closest atoms and distances in Å follow each position.
Space group P4/mmm (No. 123)
Unique sites:
1 Zr 0.0000 0.0000 0.0000 (multiplicity 1)  4 Au 3.20, 8 P 3.30
2 Ti 0.5000 0.5000 0.5000 (multiplicity 1)  4 P 2.26, 2 Au 2.40
3 P 0.0000 0.5000 0.5000 (multiplicity 2)  2 Ti 2.26
4 Au 0.5000 0.5000 0.0000 (multiplicity 1)  2 Ti 2.40

---

| no. | theoretical density (g cm⁻³) |
| --- | --- |
| 1 | 6.4 |
| 2 | 7.3 |
| 3 | 12.9 |
| 4 | 7.4 |
| 5 | 4.4 |
| 6 | 6.7 |